1.
Below is a geometry-optimized CaInRu structure, with properties calculated at the PBE level.

Cell: 3.486 3.486 10.739 Å, 90.00 90.00 90.00°
Positions (direct):
Ca (0.000, 0.000, 0.000)
Ca (0.500, 0.500, 0.500)
In (0.000, 0.000, 0.286)
In (0.500, 0.500, 0.786)
Ru (0.000, 0.000, 0.672)
Ru (0.500, 0.500, 0.172)

Values from the calculation:
ΔH_f (0 K) ... -6 kJ/mol of formula units
Space-group type ... No. 107



2.
Below is a geometry-optimized Sm2Al3ZnAg4 structure, with properties calculated at the PBE level.

Cell: 4.365 4.365 10.832 Å, 90.00 90.00 90.00°
Positions (direct):
Sm (0.000, 0.500, 0.248)
Sm (0.500, 0.000, 0.752)
Al (0.000, 0.000, 0.000)
Al (0.000, 0.500, 0.634)
Al (0.500, 0.000, 0.366)
Zn (0.500, 0.500, 0.000)
Ag (0.000, 0.000, 0.500)
Ag (0.000, 0.500, 0.866)
Ag (0.500, 0.000, 0.134)
Ag (0.500, 0.500, 0.500)

Values from the calculation:
ΔH_f (0 K) ... -283 kJ/mol of formula units
Space-group type ... No. 115



3.
Below is a geometry-optimized LaNiSeN2 structure, with properties calculated at the PBE level.

Cell: 4.067 4.067 4.632 Å, 90.00 90.00 90.00°
Positions (direct):
La (0.000, 0.000, 0.000)
Ni (0.500, 0.500, 0.500)
Se (0.500, 0.500, 0.000)
N (0.000, 0.500, 0.500)
N (0.500, 0.000, 0.500)

Values from the calculation:
Space-group type ... No. 123
Distance to the lowest polymorph of the same formula ... 0.0 kJ per mole of atoms
Formation energy from raw total energies ... 0.142 eV/atom



4.
Below is a geometry-optimized Li2PmSi2 structure, with properties calculated at the PBE level.

Cell: 3.264 3.264 20.044 Å, 90.00 90.00 90.00°
Positions (direct):
Li (0.000, 0.500, 0.250)
Li (0.000, 0.500, 0.750)
Li (0.500, 0.000, 0.250)
Li (0.500, 0.000, 0.750)
Pm (0.000, 0.000, 0.000)
Pm (0.500, 0.500, 0.500)
Si (0.000, 0.000, 0.145)
Si (0.000, 0.000, 0.855)
Si (0.500, 0.500, 0.355)
Si (0.500, 0.500, 0.645)

Values from the calculation:
Space-group type ... No. 139
Formation energy from raw total energies ... 0.452 eV/atom



| no. | Fermi-level density of states (states/eV per cell) |
| --- | --- |
| 1 | 4.3 |
| 2 | 8.0 |
| 3 | 3.8 |
| 4 | 8.6 |